# MgTaCuBi

A relaxed MgTaCuBi crystal (PBE, OQMD via LeMat-Bulk).

Calculated values
Space group = No. 216
Energy above the most stable polymorph in this dataset = 78.9 meV/atom

abc: 4.8399 4.8399 4.8399
angles: 60.00 60.00 60.00
Sites, in units of the cell vectors:
1 Mg 0.0000 0.0000 0.0000
2 Ta 0.7500 0.7500 0.7500
3 Cu 0.5000 0.5000 0.5000
4 Bi 0.2500 0.2500 0.2500

# MgCuTcBi

A relaxed MgCuTcBi crystal (PBE, OQMD via LeMat-Bulk).

Calculated values
Space group = No. 216
Energy above the most stable polymorph in this dataset = 0.0 meV/atom

abc: 4.6505 4.6505 4.6505
angles: 60.00 60.00 60.00
Sites, in units of the cell vectors:
1 Mg 0.0000 0.0000 0.0000
2 Cu 0.2500 0.2500 0.2500
3 Tc 0.7500 0.7500 0.7500
4 Bi 0.5000 0.5000 0.5000

# MgZnCuBi

A relaxed MgZnCuBi crystal (PBE, OQMD via LeMat-Bulk).

Calculated values
Space group = No. 216
Energy above the most stable polymorph in this dataset = 0.0 meV/atom

abc: 4.8451 4.8451 4.8451
angles: 60.00 60.00 60.00
Sites, in units of the cell vectors:
1 Mg 0.0000 0.0000 0.0000
2 Zn 0.7500 0.7500 0.7500
3 Cu 0.2500 0.2500 0.2500
4 Bi 0.5000 0.5000 0.5000